Density functional theory data (GGA+U) for a relaxed structure of MnO2.

Unit cell a=5.789 b=5.789 c=8.859 alpha=90.00 beta=90.00 gamma=120.00
Sites, in units of the cell vectors:
Mn  0.167  0.335  0.000
Mn  0.167  0.833  0.000
Mn  0.333  0.667  0.277
Mn  0.335  0.167  0.500
Mn  0.665  0.833  0.000
Mn  0.667  0.333  0.777
Mn  0.833  0.167  0.500
Mn  0.833  0.665  0.500
O  0.000  0.000  0.106
O  0.000  0.000  0.606
O  0.042  0.521  0.130
O  0.165  0.331  0.389
O  0.165  0.835  0.389
O  0.331  0.165  0.889
O  0.333  0.667  0.891
O  0.479  0.521  0.130
O  0.479  0.958  0.130
O  0.521  0.042  0.630
O  0.521  0.479  0.630
O  0.667  0.333  0.391
O  0.669  0.835  0.389
O  0.835  0.165  0.889
O  0.835  0.669  0.889
O  0.958  0.479  0.630

Summary:
- Total energy: -7.096 eV per atom
- Crystal system: hexagonal
- Size of the total moment: 3.0 μB/f.u.
- Space-group type: P6_3mc